VASP calculation (GGA-PBE) on a geometry-optimized Pr2ErScBi4 structure.

```
Pr2ErScBi4
1.0
4.513 0.000 0.000
0.000 7.812 0.136
0.000 -2.731 7.285
Pr Er Sc Bi
2 1 1 4
direct
0.500 0.000 0.500
0.000 0.500 0.500
0.000 0.000 0.000
0.500 0.500 0.000
0.500 0.250 0.233
0.500 0.750 0.767
0.000 0.262 0.771
0.000 0.738 0.229
```

Calculated values
- energy relative to the elements (eV/atom) = -0.833
- magnetic moment (μB/f.u.) = 0.0
- uncorrected energy (eV/atom) = -5.3304